The following is a GGA-PBE calculation of a relaxed structure of KSr2Cr, from Alexandria.

```
data_KSr2Cr
_space_group_name_H-M_alt 'P 1 2/m 1'
_space_group_IT_number 10
_space_group_name_Hall '-P 2y'
_cell_length_a 4.106
_cell_length_b 4.105
_cell_length_c 11.017
_cell_angle_alpha 90.00
_cell_angle_beta 90.17
_cell_angle_gamma 90.00
loop_
_atom_site_label
_atom_site_type_symbol
_atom_site_fract_x
_atom_site_fract_y
_atom_site_fract_z
K1 K 0.000 0.000 0.000
Sr1 Sr 0.500 0.500 0.322
Cr1 Cr 0.000 0.000 0.500
```

Values from the calculation:
For the offset from the most stable computed form, the calculation gives 0.000 eV/atom. As for the energy relative to the elements: 437 meV/atom. The total energy is -3.084 eV per atom.